# 1
! Cs5NaH (PBE, optimized geometry); values from VASP
&SYSTEM
  ibrav = 0, nat = 14, ntyp = 3
/
ATOMIC_SPECIES
Cs 132.91 Cs.upf
Na 22.99 Na.upf
H 1.01 H.upf
ATOMIC_POSITIONS crystal
Cs 0.009 0.356 0.606
Cs 0.021 0.979 0.750
Cs 0.172 0.596 0.959
Cs 0.356 0.009 0.106
Cs 0.404 0.828 0.541
Cs 0.596 0.172 0.459
Cs 0.644 0.991 0.894
Cs 0.828 0.404 0.041
Cs 0.979 0.021 0.250
Cs 0.991 0.644 0.394
Na 0.495 0.505 0.250
Na 0.505 0.495 0.750
H 0.000 0.000 0.000
H 0.000 0.000 0.500
CELL_PARAMETERS angstrom
8.094 -4.736 0.000
8.094 4.736 0.000
-6.422 0.000 13.518
! **Electronic total energy**: -1.27 eV per atom
! **Fermi-level density of states**: 0.751 states/eV per atom

=====

# 2
! CsNaH (PBE, optimized geometry); values from VASP
&SYSTEM
  ibrav = 0, nat = 6, ntyp = 3
/
ATOMIC_SPECIES
Cs 132.91 Cs.upf
Na 22.99 Na.upf
H 1.01 H.upf
ATOMIC_POSITIONS crystal
Cs 0.250 0.250 0.156
Cs 0.750 0.750 0.844
Na 0.250 0.250 0.597
Na 0.750 0.750 0.403
H 0.250 0.250 0.836
H 0.750 0.750 0.164
CELL_PARAMETERS angstrom
4.540 0.000 0.000
0.000 4.540 0.000
0.000 0.000 10.017
! **Electronic total energy**: -1.93 eV per atom
! **Polymorph energy (0 for the lowest one)**: 0.0000 eV/atom
! **Fermi-level density of states**: 0.209 states/eV per atom